The following is a DFT calculation (GGA-PBE) of a relaxed TiPO4 crystal.

abc: 5.4043 5.4043 5.5765
angles: 118.98 118.98 90.00
Site moments in Bohr magnetons follow the coordinates.
Fractional positions:
Ti1 0.5000 0.5000 0.0000  0.91
P1 0.2500 0.7500 0.5000  0.02
O1 0.2901 0.6357 0.7184  -0.01
O2 0.4282 0.0827 0.7184  -0.01
O3 0.3643 0.5718 0.2816  -0.01
O4 0.9173 0.7099 0.2816  -0.01

Computed properties:
density of states at the Fermi level = 0.74 states/eV per atom
space group = I-4
total DFT energy (no corrections) = -47.69 eV/cell
crystal system = tetragonal
M_tot = 1.0 μB/cell
ΔE_f (raw) = -14.56 eV/f.u.


The following is a DFT calculation (GGA-PBE) of a relaxed AcThRh2 crystal.

abc: 5.1353 5.1353 5.1353
angles: 60.00 60.00 60.00
Fractional positions:
Th1 0.0000 0.0000 0.0000
Rh1 0.7500 0.7500 0.7500
Rh2 0.2500 0.2500 0.2500
Ac1 0.5000 0.5000 0.5000

Computed properties:
density of states at the Fermi level = 0.72 states/eV per atom
space group = Fm-3m
total DFT energy (no corrections) = -28.63 eV/cell
crystal system = cubic
ΔE to the lowest computed polymorph = 0.192 eV/atom
M_tot = 0.0 μB/cell
ΔH_f (0 K) = -0.600 eV/atom


The following is a DFT calculation (GGA-PBE) of a relaxed YCr2In crystal.

abc: 3.4044 3.4044 7.0059
angles: 90.00 90.00 90.00
Site moments in Bohr magnetons follow the coordinates.
Fractional positions:
Cr1 0.0000 0.0000 0.4756  3.10
Cr2 0.0000 0.0000 0.0244  3.10
In1 0.5000 0.5000 0.2500  -0.11
Y1 0.5000 0.5000 0.7500  -0.15

Computed properties:
density of states at the Fermi level = 0.90 states/eV per atom
space group = P4/mmm
total DFT energy (no corrections) = -26.80 eV/cell
crystal system = tetragonal
M_tot = 6.4 μB/cell
ΔH_f (0 K) = 0.412 eV/atom


The following is a DFT calculation (GGA-PBE) of a relaxed MnZn2Tc crystal.

abc: 2.8785 2.8785 6.5516
angles: 90.00 90.00 90.00
Fractional positions:
Zn1 0.0000 0.0000 0.0002
Zn2 0.5000 0.5000 0.2659
Tc1 0.5000 0.5000 0.7190
Mn1 0.0000 0.0000 0.5149

Computed properties:
density of states at the Fermi level = 0.41 states/eV per atom
space group = P4mm
total DFT energy (no corrections) = -22.06 eV/cell
crystal system = tetragonal
ΔE to the lowest computed polymorph = 0.000 eV/atom
M_tot = 0.0 μB/cell
ΔH_f (0 K) = 0.006 eV/atom


The following is a DFT calculation (GGA-PBE) of a relaxed BeCdGeO2 crystal.

abc: 4.1643 4.7072 4.1643
angles: 90.00 90.00 90.00
Fractional positions:
O1 0.0000 0.0000 0.5000
O2 0.5000 0.0000 0.0000
Be1 0.0000 0.5000 0.0000
Ge1 0.5000 0.5000 0.5000
Cd1 0.0000 0.0000 0.0000

Computed properties:
density of states at the Fermi level = 0.24 states/eV per atom
space group = P4/mmm
total DFT energy (no corrections) = -16.24 eV/cell
crystal system = tetragonal
M_tot = 0.0 μB/cell
ΔE_f (raw) = 2.93 eV/f.u.


The following is a DFT calculation (GGA-PBE) of a relaxed Sr2LiAc2Tl4 crystal.

abc: 7.3349 7.3349 7.3349
angles: 97.03 116.03 116.03
Fractional positions:
Tl1 0.0000 0.2408 0.7592
Tl2 0.0000 0.7592 0.2408
Tl3 0.5183 0.7592 0.7592
Tl4 0.4817 0.2408 0.2408
Sr1 0.0000 0.3036 0.3036
Sr2 0.0000 0.6964 0.6964
Ac1 0.5000 0.7500 0.2500
Ac2 0.5000 0.2500 0.7500
Li1 0.0000 0.0000 0.0000

Computed properties:
density of states at the Fermi level = 0.61 states/eV per atom
space group = I4/mmm
total DFT energy (no corrections) = -25.31 eV/cell
crystal system = tetragonal
M_tot = 0.0 μB/cell
ΔH_f (0 K) = -0.261 eV/atom


The following is a DFT calculation (GGA-PBE) of a relaxed ZnIn3Os crystal.

abc: 5.0172 5.0172 5.0172
angles: 90.00 90.00 90.00
Site moments in Bohr magnetons follow the coordinates.
Fractional positions:
In1 0.0000 0.5000 0.0000  -0.03
In2 0.0000 0.0000 0.5000  0.02
In3 0.5000 0.0000 0.0000  -0.03
Os1 0.5000 0.5000 0.5000  2.06
Zn1 0.0000 0.0000 0.0000  0.02

Computed properties:
density of states at the Fermi level = 0.89 states/eV per atom
space group = Pm-3m
total DFT energy (no corrections) = -14.40 eV/cell
crystal system = cubic
ΔE to the lowest computed polymorph = 0.948 eV/atom
M_tot = 2.1 μB/cell
ΔH_f (0 K) = 1.263 eV/atom


The following is a DFT calculation (GGA-PBE) of a relaxed LiFeSe crystal.

abc: 3.8117 3.8117 5.9819
angles: 90.00 90.00 90.00
Site moments in Bohr magnetons follow the coordinates.
Fractional positions:
Se1 0.0000 0.5000 0.2689  0.01
Se2 0.5000 0.0000 0.7311  0.01
Li1 0.5000 0.0000 0.1730  0.01
Li2 0.0000 0.5000 0.8270  0.01
Fe1 0.0000 0.0000 0.5000  0.36
Fe2 0.5000 0.5000 0.5000  0.36

Computed properties:
density of states at the Fermi level = 0.74 states/eV per atom
space group = P4/nmm
total DFT energy (no corrections) = -30.37 eV/cell
crystal system = tetragonal
ΔE to the lowest computed polymorph = 0.000 eV/atom
M_tot = 0.9 μB/cell
ΔE_f (raw) = -1.32 eV/f.u.


The following is a DFT calculation (GGA-PBE) of a relaxed La3MgO crystal.

abc: 6.2758 6.2759 7.2803
angles: 90.00 90.00 106.37
Fractional positions:
O1 0.3536 0.5187 0.9650
O2 0.8536 0.0187 0.9650
La1 0.6039 0.2689 0.9651
La2 0.6038 0.7684 0.2089
La3 0.1034 0.2688 0.2089
La4 0.1034 0.7685 0.9651
La5 0.1034 0.2688 0.7212
La6 0.6038 0.7684 0.7212
Mg1 0.1041 0.7689 0.4648
Mg2 0.6030 0.2678 0.4648

Computed properties:
density of states at the Fermi level = 1.17 states/eV per atom
space group = Cmmm
total DFT energy (no corrections) = -53.90 eV/cell
crystal system = orthorhombic
ΔE to the lowest computed polymorph = 0.084 eV/atom
M_tot = 0.0 μB/cell
ΔE_f (raw) = -5.62 eV/f.u.


The following is a DFT calculation (GGA-PBE) of a relaxed DyTh4Sb5 crystal.

abc: 4.4898 4.4898 16.1505
angles: 97.99 97.99 90.00
Fractional positions:
Dy1 0.0000 0.0000 0.0000
Sb1 0.7002 0.7002 0.4004
Sb2 0.0978 0.0978 0.1955
Sb3 0.9022 0.9022 0.8045
Sb4 0.5000 0.5000 0.0000
Sb5 0.2998 0.2998 0.5996
Th1 0.4003 0.4003 0.8005
Th2 0.5997 0.5997 0.1995
Th3 0.1992 0.1992 0.3985
Th4 0.8008 0.8008 0.6015

Computed properties:
density of states at the Fermi level = 0.55 states/eV per atom
space group = I4/mmm
total DFT energy (no corrections) = -64.39 eV/cell
crystal system = tetragonal
M_tot = 0.0 μB/cell
ΔE_f (raw) = -9.50 eV/f.u.


The following is a DFT calculation (GGA-PBE) of a relaxed Y2TlPb3 crystal.

abc: 4.6233 4.7221 8.1315
angles: 90.00 106.52 90.00
Fractional positions:
Tl1 0.0000 0.0000 0.0000
Pb1 0.3250 0.0000 0.6500
Pb2 0.5000 0.5000 0.0000
Pb3 0.6750 0.0000 0.3500
Y1 0.8499 0.5000 0.6999
Y2 0.1501 0.5000 0.3001

Computed properties:
density of states at the Fermi level = 0.46 states/eV per atom
space group = Cmmm
total DFT energy (no corrections) = -28.68 eV/cell
crystal system = orthorhombic
M_tot = 0.0 μB/cell
ΔH_f (0 K) = -0.377 eV/atom


The following is a DFT calculation (GGA-PBE) of a relaxed HfScNb2C crystal.

abc: 5.1007 4.2191 5.1007
angles: 90.00 90.00 90.00
Site moments in Bohr magnetons follow the coordinates.
Fractional positions:
Hf1 0.0000 0.0000 0.0000  0.04
Sc1 0.5000 0.5000 0.5000  0.21
C1 0.0000 0.5000 0.0000  0.00
Nb1 0.5000 0.0000 0.0000  0.65
Nb2 0.0000 0.0000 0.5000  0.46

Computed properties:
density of states at the Fermi level = 1.51 states/eV per atom
space group = P4/mmm
total DFT energy (no corrections) = -37.56 eV/cell
crystal system = tetragonal
M_tot = 1.8 μB/cell
ΔH_f (0 K) = 1.618 eV/atom


The following is a DFT calculation (GGA-PBE) of a relaxed BaGa2SnAu5 crystal.

abc: 4.9815 4.9815 9.1684
angles: 90.00 90.00 90.00
Fractional positions:
Au1 0.0000 0.5000 0.1685
Au2 0.5000 0.0000 0.1685
Au3 0.5000 0.0000 0.8315
Au4 0.0000 0.5000 0.8315
Au5 0.5000 0.5000 0.5000
Ba1 0.0000 0.0000 0.5000
Ga1 0.5000 0.5000 0.7738
Ga2 0.5000 0.5000 0.2262
Sn1 0.0000 0.0000 0.0000

Computed properties:
density of states at the Fermi level = 0.43 states/eV per atom
space group = P4/mmm
total DFT energy (no corrections) = -31.08 eV/cell
crystal system = tetragonal
M_tot = 0.0 μB/cell
ΔH_f (0 K) = -0.302 eV/atom


The following is a DFT calculation (GGA-PBE) of a relaxed Pm12Si7Os crystal.

abc: 8.9375 8.9375 8.9375
angles: 109.36 109.36 109.36
Fractional positions:
Pm1 0.3976 0.0973 0.3145
Pm2 0.9027 0.6855 0.6024
Pm3 0.3470 0.7264 0.8720
Pm4 0.2736 0.1280 0.6530
Pm5 0.7264 0.8720 0.3470
Pm6 0.3145 0.3976 0.0973
Pm7 0.1280 0.6530 0.2736
Pm8 0.8720 0.3470 0.7264
Pm9 0.6855 0.6024 0.9027
Pm10 0.0973 0.3145 0.3976
Pm11 0.6530 0.2736 0.1280
Pm12 0.6024 0.9027 0.6855
Si1 0.0218 0.9326 0.2512
Si2 0.9782 0.0674 0.7488
Si3 0.0674 0.7488 0.9782
Si4 0.5000 0.5000 0.5000
Si5 0.2512 0.0218 0.9326
Si6 0.9326 0.2512 0.0218
Si7 0.7488 0.9782 0.0674
Os1 0.0000 0.0000 0.0000

Computed properties:
density of states at the Fermi level = 1.10 states/eV per atom
space group = R-3
total DFT energy (no corrections) = -114.50 eV/cell
crystal system = trigonal
M_tot = 0.0 μB/cell
ΔE_f (raw) = -8.30 eV/f.u.


The following is a DFT calculation (GGA-PBE) of a relaxed LiCa2TmTe4 crystal.

abc: 4.4247 7.6208 7.6144
angles: 108.78 90.00 90.00
Fractional positions:
Te1 0.5000 0.2470 0.2349
Te2 0.0000 0.7482 0.2377
Te3 0.0000 0.2518 0.7623
Te4 0.5000 0.7530 0.7651
Ca1 0.5000 0.0000 0.5000
Ca2 0.0000 0.5000 0.5000
Li1 0.5000 0.5000 0.0000
Tm1 0.0000 0.0000 0.0000

Computed properties:
space group = P2/m
total DFT energy (no corrections) = -34.39 eV/cell
crystal system = monoclinic
M_tot = 0.0 μB/cell
ΔE_f (raw) = -11.43 eV/f.u.


The following is a DFT calculation (GGA-PBE) of a relaxed Dy3Y2Cd3 crystal.

abc: 3.7445 5.3514 11.5609
angles: 103.38 99.32 90.00
Fractional positions:
Y1 0.7330 0.2330 0.4660
Y2 0.2670 0.7670 0.5340
Dy1 0.6224 0.6224 0.2448
Dy2 0.3776 0.3776 0.7552
Dy3 0.5000 0.0000 0.0000
Cd1 0.8833 0.8833 0.7665
Cd2 0.0000 0.5000 0.0000
Cd3 0.1167 0.1167 0.2335

Computed properties:
density of states at the Fermi level = 1.22 states/eV per atom
space group = Immm
total DFT energy (no corrections) = -31.38 eV/cell
crystal system = orthorhombic
M_tot = 0.0 μB/cell
ΔH_f (0 K) = -0.237 eV/atom


The following is a DFT calculation (GGA-PBE) of a relaxed Rb3Sr3ReO8 crystal.

abc: 7.2613 7.2613 7.7814
angles: 117.81 90.00 120.00
Fractional positions:
O1 0.1817 0.3635 0.6655
O2 0.1817 0.9838 0.6655
O3 0.2707 0.5415 0.3123
O4 0.1980 0.0163 0.3345
O5 0.7293 0.4585 0.6877
O6 0.8183 0.6365 0.3345
O7 0.8183 0.0162 0.3345
O8 0.8020 0.9837 0.6655
Sr1 0.5000 0.0000 0.5000
Sr2 0.0000 0.5000 0.5000
Sr3 0.5000 0.5000 0.5000
Rb1 0.5000 0.5000 0.0000
Rb2 0.0000 0.0000 0.0000
Rb3 0.0000 0.5000 0.0000
Re1 0.0000 0.0000 0.5000

Computed properties:
space group = R-3m
total DFT energy (no corrections) = -91.20 eV/cell
crystal system = trigonal
M_tot = 0.0 μB/cell
ΔE_f (raw) = -31.14 eV/f.u.


The following is a DFT calculation (GGA-PBE) of a relaxed BaCaTc2 crystal.

abc: 3.4709 3.4709 9.3303
angles: 90.00 90.00 90.00
Fractional positions:
Tc1 0.5000 0.5000 0.1466
Tc2 0.0000 0.0000 0.0851
Ba1 0.0000 0.0000 0.4361
Ca1 0.5000 0.5000 0.8321

Computed properties:
density of states at the Fermi level = 0.81 states/eV per atom
space group = P4mm
total DFT energy (no corrections) = -22.90 eV/cell
crystal system = tetragonal
ΔE to the lowest computed polymorph = 0.174 eV/atom
M_tot = 0.0 μB/cell
ΔH_f (0 K) = 0.438 eV/atom


The following is a DFT calculation (GGA-PBE) of a relaxed Cs2TlTc crystal.

abc: 6.3219 6.3219 6.3219
angles: 60.00 60.00 60.00
Site moments in Bohr magnetons follow the coordinates.
Fractional positions:
Cs1 0.7500 0.7500 0.7500  -0.03
Cs2 0.2500 0.2500 0.2500  -0.03
Tc1 0.0000 0.0000 0.0000  3.13
Tl1 0.5000 0.5000 0.5000  -0.18

Computed properties:
density of states at the Fermi level = 0.71 states/eV per atom
space group = Fm-3m
total DFT energy (no corrections) = -9.60 eV/cell
crystal system = cubic
M_tot = 2.7 μB/cell
ΔH_f (0 K) = 1.210 eV/atom


The following is a DFT calculation (GGA-PBE) of a relaxed SrTaGe2O8 crystal.

abc: 5.8797 5.8797 5.8797
angles: 106.70 106.70 115.18
Site moments in Bohr magnetons follow the coordinates.
Fractional positions:
O1 0.4604 0.6673 0.7931  0.07
O2 0.9587 0.6262 0.6675  0.17
O3 0.3327 0.5396 0.2069  0.07
O4 0.7088 0.0413 0.6675  0.17
O5 0.3738 0.0413 0.3325  0.17
O6 0.9587 0.2912 0.3325  0.17
O7 0.3327 0.1259 0.7931  0.07
O8 0.8741 0.6673 0.2069  0.07
Ge1 0.5000 0.5000 0.0000  -0.01
Ge2 0.7500 0.2500 0.5000  -0.01
Ta1 0.2500 0.7500 0.5000  -0.03
Sr1 0.0000 0.0000 0.0000  0.01

Computed properties:
density of states at the Fermi level = 0.87 states/eV per atom
space group = I-4m2
total DFT energy (no corrections) = -85.58 eV/cell
crystal system = tetragonal
M_tot = 1.1 μB/cell
ΔE_f (raw) = -23.15 eV/f.u.